# Na2CaAlAu

Crystalline Na2CaAlAu at its relaxed geometry (PBE, the Alexandria database).

Unit cell a=5.465 b=5.943 c=5.465 alpha=90.00 beta=90.00 gamma=90.00
Fractional coordinates of all 5 atoms:
Na  0.000  0.000  0.500
Na  0.500  0.000  0.000
Ca  0.000  0.500  0.000
Au  0.500  0.500  0.500
Al  0.000  0.000  0.000

Summary:
* DFT formation energy: 359 meV/atom
* total magnetic moment: 0.0 μB/f.u.